This record from Alexandria describes crystalline NaLiOsPd2 at its relaxed geometry. The functional is PBE.

Cell lengths 4.3853, 3.9915, 4.3853 Å; angles 90.00, 90.00, 90.00 degrees
Last column: nearest neighbours and their distance in Å.
Sites, in units of the cell vectors:
Na (0.0000, 0.5000, 0.0000)  2 Li 2.00
Pd (0.0000, 0.0000, 0.5000)  2 Li 2.19
Os (0.5000, 0.5000, 0.5000)  8 Pd 2.96, 4 Na 3.10
Li (0.0000, 0.0000, 0.0000)  2 Na 2.00, 4 Pd 2.19
Pd (0.5000, 0.0000, 0.0000)  2 Li 2.19

Properties
symmetry: P4/mmm, No. 123
E: -20.47 eV/f.u.
density of states at the Fermi level: 5.1 states/eV/f.u.
energy relative to the elements: 0.88 eV per atom
total magnetic moment: 2.15 Bohr magnetons per cell